A) # PBE AlAs2Pb2, optimized geometry
data_AlAs2Pb2
_chemical_formula_sum 'Al2 As4 Pb4'
_space_group_name_H-M_alt 'I 4/m m m'
_space_group_IT_number 139
_space_group_name_Hall '-I 4 2'
_cell_length_a 3.787
_cell_length_b 3.787
_cell_length_c 17.907
_cell_angle_alpha 90.00
_cell_angle_beta 90.00
_cell_angle_gamma 90.00
loop_
_atom_site_label
_atom_site_type_symbol
_atom_site_fract_x
_atom_site_fract_y
_atom_site_fract_z
Al1 Al 0.000 0.000 0.000
As1 As 0.000 0.500 0.250
Pb1 Pb 0.000 0.000 0.399
# * V: 25.7 A^3/atom
# * Fermi-level density of states: 4.916 states/eV per cell

B) # PBE AlAs2Pb2, optimized geometry
data_AlAs2Pb2
_chemical_formula_sum 'Al2 As4 Pb4'
_space_group_name_H-M_alt 'P 4/m b m'
_space_group_IT_number 127
_space_group_name_Hall '-P 4 2ab'
_cell_length_a 6.512
_cell_length_b 6.512
_cell_length_c 6.214
_cell_angle_alpha 90.00
_cell_angle_beta 90.00
_cell_angle_gamma 90.00
loop_
_atom_site_label
_atom_site_type_symbol
_atom_site_fract_x
_atom_site_fract_y
_atom_site_fract_z
Al1 Al 0.000 0.000 0.000
As1 As 0.135 0.365 0.000
Pb1 Pb 0.191 0.309 0.500
# * V: 26.4 A^3/atom
# * Fermi-level density of states: 4.424 states/eV per cell

C) # PBE AlAs2Pb2, optimized geometry
data_AlAs2Pb2
_chemical_formula_sum 'Al2 As4 Pb4'
_space_group_name_H-M_alt 'P 4/m b m'
_space_group_IT_number 127
_space_group_name_Hall '-P 4 2ab'
_cell_length_a 8.427
_cell_length_b 8.427
_cell_length_c 3.808
_cell_angle_alpha 90.00
_cell_angle_beta 90.00
_cell_angle_gamma 90.00
loop_
_atom_site_label
_atom_site_type_symbol
_atom_site_fract_x
_atom_site_fract_y
_atom_site_fract_z
Al1 Al 0.000 0.000 0.000
As1 As 0.109 0.391 0.500
Pb1 Pb 0.174 0.674 0.000
# * V: 27.0 A^3/atom
# * Fermi-level density of states: 4.190 states/eV per cell

Most stable: B)

A) # PBE AlAs3Pb, optimized geometry
data_AlAs3Pb
_chemical_formula_sum 'Al1 As3 Pb1'
_space_group_name_H-M_alt 'P m -3 m'
_space_group_IT_number 221
_space_group_name_Hall '-P 4 2 3'
_cell_length_a 4.943
_cell_length_b 4.943
_cell_length_c 4.943
_cell_angle_alpha 90.00
_cell_angle_beta 90.00
_cell_angle_gamma 90.00
loop_
_atom_site_label
_atom_site_type_symbol
_atom_site_fract_x
_atom_site_fract_y
_atom_site_fract_z
Al1 Al 0.000 0.000 0.000
As1 As 0.000 0.000 0.500
Pb1 Pb 0.500 0.500 0.500
# * V: 24.2 A^3/atom
# * Fermi-level density of states: 4.104 states/eV per cell

B) # PBE AlAs3Pb, optimized geometry
data_AlAs3Pb
_chemical_formula_sum 'Al1 As3 Pb1'
_space_group_name_H-M_alt 'P m -3 m'
_space_group_IT_number 221
_space_group_name_Hall '-P 4 2 3'
_cell_length_a 5.429
_cell_length_b 5.429
_cell_length_c 5.429
_cell_angle_alpha 90.00
_cell_angle_beta 90.00
_cell_angle_gamma 90.00
loop_
_atom_site_label
_atom_site_type_symbol
_atom_site_fract_x
_atom_site_fract_y
_atom_site_fract_z
Al1 Al 0.000 0.000 0.000
As1 As 0.000 0.500 0.500
Pb1 Pb 0.500 0.500 0.500
# * V: 32.0 A^3/atom
# * Fermi-level density of states: 5.533 states/eV per cell

Most stable: A)

A) # PBE AlAs2PbSe, optimized geometry
data_AlAs2PbSe
_chemical_formula_sum 'Al1 As2 Pb1 Se1'
_space_group_name_H-M_alt 'P 4/m m m'
_space_group_IT_number 123
_space_group_name_Hall '-P 4 2'
_cell_length_a 5.434
_cell_length_b 5.434
_cell_length_c 5.508
_cell_angle_alpha 90.00
_cell_angle_beta 90.00
_cell_angle_gamma 90.00
loop_
_atom_site_label
_atom_site_type_symbol
_atom_site_fract_x
_atom_site_fract_y
_atom_site_fract_z
Al1 Al 0.000 0.000 0.000
As1 As 0.000 0.500 0.500
Pb1 Pb 0.500 0.500 0.500
Se1 Se 0.500 0.500 0.000
# * V: 32.5 A^3/atom
# * Fermi-level density of states: 4.828 states/eV per cell

B) # PBE AlAs2PbSe, optimized geometry
data_AlAs2PbSe
_chemical_formula_sum 'Al1 As2 Pb1 Se1'
_space_group_name_H-M_alt 'P 4/m m m'
_space_group_IT_number 123
_space_group_name_Hall '-P 4 2'
_cell_length_a 4.901
_cell_length_b 4.901
_cell_length_c 5.079
_cell_angle_alpha 90.00
_cell_angle_beta 90.00
_cell_angle_gamma 90.00
loop_
_atom_site_label
_atom_site_type_symbol
_atom_site_fract_x
_atom_site_fract_y
_atom_site_fract_z
Al1 Al 0.000 0.000 0.000
As1 As 0.000 0.500 0.000
Pb1 Pb 0.500 0.500 0.500
Se1 Se 0.000 0.000 0.500
# * V: 24.4 A^3/atom
# * Fermi-level density of states: 3.615 states/eV per cell

C) # PBE AlAs2PbSe, optimized geometry
data_AlAs2PbSe
_chemical_formula_sum 'Al1 As2 Pb1 Se1'
_space_group_name_H-M_alt 'P 4/m m m'
_space_group_IT_number 123
_space_group_name_Hall '-P 4 2'
_cell_length_a 5.228
_cell_length_b 5.228
_cell_length_c 4.833
_cell_angle_alpha 90.00
_cell_angle_beta 90.00
_cell_angle_gamma 90.00
loop_
_atom_site_label
_atom_site_type_symbol
_atom_site_fract_x
_atom_site_fract_y
_atom_site_fract_z
Al1 Al 0.000 0.000 0.000
As1 As 0.000 0.500 0.500
Pb1 Pb 0.500 0.500 0.000
Se1 Se 0.000 0.000 0.500
# * V: 26.4 A^3/atom
# * Fermi-level density of states: 4.420 states/eV per cell

Most stable: B)

A) # PBE AlAsPbSe2, optimized geometry
data_AlAsPbSe2
_chemical_formula_sum 'Al1 As1 Pb1 Se2'
_space_group_name_H-M_alt 'P 4/m m m'
_space_group_IT_number 123
_space_group_name_Hall '-P 4 2'
_cell_length_a 5.508
_cell_length_b 5.508
_cell_length_c 5.418
_cell_angle_alpha 90.00
_cell_angle_beta 90.00
_cell_angle_gamma 90.00
loop_
_atom_site_label
_atom_site_type_symbol
_atom_site_fract_x
_atom_site_fract_y
_atom_site_fract_z
Al1 Al 0.000 0.000 0.000
As1 As 0.500 0.500 0.000
Pb1 Pb 0.500 0.500 0.500
Se1 Se 0.000 0.500 0.500
# * V: 32.9 A^3/atom
# * Fermi-level density of states: 3.847 states/eV per cell

B) # PBE AlAsPbSe2, optimized geometry
data_AlAsPbSe2
_chemical_formula_sum 'Al1 As1 Pb1 Se2'
_space_group_name_H-M_alt 'P 4/m m m'
_space_group_IT_number 123
_space_group_name_Hall '-P 4 2'
_cell_length_a 5.002
_cell_length_b 5.002
_cell_length_c 4.898
_cell_angle_alpha 90.00
_cell_angle_beta 90.00
_cell_angle_gamma 90.00
loop_
_atom_site_label
_atom_site_type_symbol
_atom_site_fract_x
_atom_site_fract_y
_atom_site_fract_z
Al1 Al 0.000 0.000 0.000
As1 As 0.000 0.000 0.500
Pb1 Pb 0.500 0.500 0.500
Se1 Se 0.000 0.500 0.000
# * V: 24.5 A^3/atom
# * Fermi-level density of states: 4.850 states/eV per cell

Most stable: B)

A) # PBE AlAsPd4, optimized geometry
data_AlAsPd4
_chemical_formula_sum 'Al4 As4 Pd16'
_space_group_name_H-M_alt 'P n m a'
_space_group_IT_number 62
_cell_length_a 6.838
_cell_length_b 3.362
_cell_length_c 16.104
_cell_angle_alpha 90.00
_cell_angle_beta 90.00
_cell_angle_gamma 90.00
loop_
_space_group_symop_operation_xyz
'x,y,z'
'-x,-y,-z'
'-x+1/2,-y,z+1/2'
'x+1/2,y,-z+1/2'
'x+1/2,-y+1/2,-z+1/2'
'-x+1/2,y+1/2,z+1/2'
'-x,y+1/2,-z'
'x,-y+1/2,z'
loop_
_atom_site_label
_atom_site_type_symbol
_atom_site_fract_x
_atom_site_fract_y
_atom_site_fract_z
Al1 Al 0.229 0.250 0.191
As1 As 0.248 0.750 0.442
Pd1 Pd 0.033 0.750 0.287
Pd2 Pd 0.035 0.750 0.570
Pd3 Pd 0.121 0.750 0.064
Pd4 Pd 0.135 0.750 0.837
# * V: 15.4 A^3/atom
# * Fermi-level density of states: 5.945 states/eV per cell

B) # PBE AlAsPd4, optimized geometry
data_AlAsPd4
_chemical_formula_sum 'Al2 As2 Pd8'
_space_group_name_H-M_alt 'P 1 21/c 1'
_space_group_IT_number 14
_cell_length_a 6.420
_cell_length_b 6.196
_cell_length_c 5.352
_cell_angle_alpha 90.00
_cell_angle_beta 92.55
_cell_angle_gamma 90.00
loop_
_space_group_symop_operation_xyz
'x,y,z'
'-x,-y,-z'
'-x,y+1/2,-z+1/2'
'x,-y+1/2,z+1/2'
loop_
_atom_site_label
_atom_site_type_symbol
_atom_site_fract_x
_atom_site_fract_y
_atom_site_fract_z
Al1 Al 0.000 0.000 0.000
As1 As 0.500 0.000 0.500
Pd1 Pd 0.153 0.144 0.433
Pd2 Pd 0.265 0.729 0.252
# * V: 17.7 A^3/atom
# * Fermi-level density of states: 4.490 states/eV per cell

Most stable: A)

A) # PBE AlAs2Pd8, optimized geometry
data_AlAs2Pd8
_chemical_formula_sum 'Al2 As4 Pd16'
_space_group_name_H-M_alt 'I m m m'
_space_group_IT_number 71
_space_group_name_Hall '-I 2 2'
_cell_length_a 3.975
_cell_length_b 7.234
_cell_length_c 11.978
_cell_angle_alpha 90.00
_cell_angle_beta 90.00
_cell_angle_gamma 90.00
loop_
_atom_site_label
_atom_site_type_symbol
_atom_site_fract_x
_atom_site_fract_y
_atom_site_fract_z
Al1 Al 0.000 0.000 0.000
As1 As 0.000 0.000 0.321
Pd1 Pd 0.000 0.194 0.500
Pd2 Pd 0.000 0.278 0.166
Pd3 Pd 0.000 0.500 0.366
# * V: 15.7 A^3/atom
# * Fermi-level density of states: 5.357 states/eV per cell

B) # PBE AlAs2Pd8, optimized geometry
data_AlAs2Pd8
_chemical_formula_sum 'Al2 As4 Pd16'
_space_group_name_H-M_alt 'C 1 2/m 1'
_space_group_IT_number 12
_cell_length_a 14.332
_cell_length_b 4.137
_cell_length_c 6.266
_cell_angle_alpha 90.00
_cell_angle_beta 112.74
_cell_angle_gamma 90.00
loop_
_space_group_symop_operation_xyz
'x,y,z'
'-x,-y,-z'
'-x,y,-z'
'x,-y,z'
'x+1/2,y+1/2,z'
'-x+1/2,-y+1/2,-z'
'-x+1/2,y+1/2,-z'
'x+1/2,-y+1/2,z'
loop_
_atom_site_label
_atom_site_type_symbol
_atom_site_fract_x
_atom_site_fract_y
_atom_site_fract_z
Al1 Al 0.000 0.000 0.000
As1 As 0.177 0.500 0.677
Pd1 Pd 0.031 0.500 0.797
Pd2 Pd 0.092 0.000 0.459
Pd3 Pd 0.174 0.000 0.956
Pd4 Pd 0.184 0.500 0.285
# * V: 15.6 A^3/atom
# * Fermi-level density of states: 9.439 states/eV per cell

Most stable: B)